No. 1
Here is Zn5IrPd6 after structural relaxation from the Alexandria database. Energies are from PBE.

As for the total DFT energy (no corrections): -4.270 eV/atom. The value obtained for the total magnetic moment is 0.0 Bohr magnetons per cell. The formation energy is -0.4041 eV/atom.

The structure belongs to space group Immm (No. 71); the cell edges are 4.1133, 7.0156 and 12.1250 Å and the angles 90.00°, 90.00° and 90.00°. The asymmetric unit holds Zn at (0.0000, 0.0000, 0.0000), Zn at (0.0000, 0.0000, 0.3493), Zn at (0.0000, 0.5000, 0.3254), Ir at (0.0000, 0.5000, 0.0000), Pd at (0.0000, 0.2349, 0.1690) and Pd at (0.0000, 0.2717, 0.5000).

***

No. 2
Here is NbSbW3 after structural relaxation from the Alexandria database. Energies are from PBE.

As for the total DFT energy (no corrections): -8.416 eV/atom. The formation energy without anion corrections is 2.19 eV/atom. The value obtained for the total magnetic moment is 0.0 Bohr magnetons per cell. The polymorph energy (0 for the lowest one) is 0 meV per atom.

The structure belongs to space group Pm-3m (No. 221); the cell edges are 4.8384, 4.8384 and 4.8384 Å and the angles 90.00°, 90.00° and 90.00°. The asymmetric unit holds Nb at (0.0000, 0.0000, 0.0000), Sb at (0.5000, 0.5000, 0.5000) and W at (0.0000, 0.0000, 0.5000).

***

- Number 1 is which compound?
  Zn5IrPd6

***

- The highest total DFT energy (no corrections) belongs to which entry?
  Zn5IrPd6